VASP calculation (GGA-PBE) on crystalline Ac3La12Sc at its relaxed geometry.

Cell and atoms, written as POSCAR:
```
Ac3La12Sc
1.0
5.310 0.000 0.000
0.000 5.310 0.000
0.000 0.000 21.106
La Ac Sc
12 3 1
Direct
0.500 0.500 0.500
0.500 0.000 0.373
0.500 0.000 0.117
0.500 0.500 0.756
0.500 0.500 0.000
0.000 0.500 0.883
0.000 0.500 0.373
0.500 0.000 0.883
0.000 0.500 0.627
0.000 0.500 0.117
0.500 0.500 0.244
0.500 0.000 0.627
0.000 0.000 0.755
0.000 0.000 0.245
0.000 0.000 0.500
0.000 0.000 0.000
```

* electronic total energy: -4.838 eV/atom
* SG: P4/mmm
* formation energy: 24 meV per atom